Entry 1:
Material: KSi2Sn2
Method: DFT, meta-GGA SCAN
State: single point on PBEsol structure

a b c (Å): 4.2705 4.2705 15.7512
angles (deg): 90.00 90.00 90.00
Space group I4/mmm (No. 139)
One atom of each set of equivalent atoms:
K1 0.0000 0.0000 0.0000 (multiplicity 2)
Si1 0.0000 0.5000 0.2500 (multiplicity 4)
Sn1 0.0000 0.0000 0.3582 (multiplicity 4)

M_tot (μB per atom): 0.0000
DFT total energy (eV per atom): -19.869
DOS(E_F) (states/eV per atom): 0.15
ΔE_f (raw) (meV/atom): 171

Entry 2:
Material: ZrInTe2
Method: DFT, meta-GGA SCAN
State: single point on PBEsol structure

a b c (Å): 3.5384 4.9820 13.0875
angles (deg): 90.00 90.00 90.00
Space group Immm (No. 71)
One atom of each set of equivalent atoms:
Zr1 0.0000 0.0000 0.0000 (multiplicity 2)
In1 0.0000 0.0000 0.5000 (multiplicity 2)
Te1 0.0000 0.5000 0.3276 (multiplicity 4)

M_tot (μB per atom): 0.0000
DFT total energy (eV per atom): -35.034
DOS(E_F) (states/eV per atom): 0.48
ΔE_f (raw) (meV/atom): -388

Entry 3:
Material: PtRh2W
Method: DFT, meta-GGA SCAN
State: single point on PBEsol structure

a b c (Å): 3.8361 3.8361 7.7385
angles (deg): 90.00 90.00 90.00
Space group I-4m2 (No. 119)
One atom of each set of equivalent atoms:
Pt1 0.0000 0.0000 0.0000 (multiplicity 2)
Rh1 0.0000 0.0000 0.5000 (multiplicity 2)
Rh2 0.0000 0.5000 0.2500 (multiplicity 2)
W1 0.0000 0.5000 0.7500 (multiplicity 2)

M_tot (μB per atom): 0.0000
DFT total energy (eV per atom): -52.121
Energy of formation from the pure elements (meV per atom): -265
DOS(E_F) (states/eV per atom): 1.01
E above lowest polymorph (eV/atom): 0.007

> Among the records above, which one has the highest DOS(E_F)?

PtRh2W